(1)
The following is a DFT calculation (PBE) of an optimized crystal structure of SbAsAu.

Cell and atoms, written as POSCAR:
```
SbAsAu
1.0
6.172 0.000 0.000
0.000 6.172 0.000
0.000 0.000 8.315
Sb As Au
4 4 4
Cartesian
1.523 1.523 0.000
1.563 4.609 2.079
4.609 1.563 6.236
4.649 4.649 4.158
0.858 5.314 6.236
2.228 2.228 4.158
3.944 3.944 0.000
5.314 0.858 2.079
0.478 0.478 4.158
2.608 3.564 6.236
3.564 2.608 2.079
5.694 5.694 0.000
```

Computed properties:
For the formation energy (no corrections), the calculation gives 0.271 eV/atom. As for the magnetic moment: 0.00 μB/atom. For the energy above the most stable polymorph in this dataset, the calculation gives 302 meV per atom. The final energy is -3.7452 eV/atom. As for the crystal system: tetragonal.

(2)
The following is a DFT calculation (PBE) of an optimized crystal structure of Cs3BaSb2O8.

Cell and atoms, written as POSCAR:
```
Cs3BaSb2O8
1.0
6.747 0.000 0.000
-3.374 5.843 0.000
0.000 0.000 8.695
Cs Ba Sb O
3 1 2 8
Cartesian
0.000 0.000 0.000
0.000 3.895 5.991
3.374 1.948 2.703
0.000 0.000 4.347
0.000 3.895 2.058
3.374 1.948 6.637
0.000 2.099 2.709
-1.556 4.794 2.709
0.000 3.895 0.148
1.818 1.050 5.986
1.556 4.794 2.709
3.374 1.948 8.547
4.929 1.050 5.986
3.374 3.744 5.986
```

Computed properties:
For the formation energy (no corrections), the calculation gives -1.594 eV/atom. As for the magnetic moment: 0.08 μB/atom. The final energy is -5.3367 eV/atom. As for the crystal system: trigonal.

(3)
The following is a DFT calculation (PBE) of an optimized crystal structure of BaTa2Cu.

Cell and atoms, written as POSCAR:
```
BaTa2Cu
1.0
0.000 3.398 3.398
3.398 0.000 3.398
3.398 3.398 0.000
Ba Ta Cu
1 2 1
Cartesian
0.000 0.000 0.000
1.699 1.699 1.699
5.098 5.098 5.098
3.398 3.398 3.398
```

Computed properties:
The formation enthalpy at 0 K is 1.350 eV per atom. As for the magnetic moment: 0.00 μB/atom. For the energy above the most stable polymorph in this dataset, the calculation gives 846 meV per atom. The final energy is -6.0807 eV/atom. As for the crystal system: cubic.

Q: Number 1 is which compound?
A: SbAsAu